# 1
Entry from Alexandria: a geometry-optimized Ba3La2TbTe6 structure (GGA-PBE).

```
data_Ba3La2TbTe6
_symmetry_space_group_name_H-M 'C 1 2/m 1'
_symmetry_Int_Tables_number 12
_symmetry_space_group_name_Hall '-C 2y'
_cell_length_a 8.120
_cell_length_b 14.049
_cell_length_c 8.343
_cell_angle_alpha 90.00
_cell_angle_beta 108.94
_cell_angle_gamma 90.00
loop_
_atom_site_label
_atom_site_type_symbol
_atom_site_fract_x
_atom_site_fract_y
_atom_site_fract_z
Ba1 Ba 0.000 0.000 0.000
Ba2 Ba 0.000 0.330 0.000
La1 La 0.000 0.166 0.500
Tb1 Tb 0.000 0.500 0.500
Te1 Te 0.236 0.338 0.723
Te2 Te 0.248 0.500 0.274
```

Values from the calculation:
D(E_F), states/eV/atom: 0.5028
Energy relative to the elements, uncorrected, eV/atom: -1.6138


# 2
Entry from Alexandria: a geometry-optimized KNaO6 structure (GGA-PBE).

```
data_KNaO6
_symmetry_space_group_name_H-M 'P -1'
_symmetry_Int_Tables_number 2
_symmetry_space_group_name_Hall '-P 1'
_cell_length_a 4.137
_cell_length_b 5.143
_cell_length_c 6.160
_cell_angle_alpha 87.52
_cell_angle_beta 83.52
_cell_angle_gamma 72.55
loop_
_atom_site_label
_atom_site_type_symbol
_atom_site_fract_x
_atom_site_fract_y
_atom_site_fract_z
K1 K 0.000 0.000 0.000
Na1 Na 0.500 0.500 0.500
O1 O 0.129 0.206 0.592
O2 O 0.174 0.192 0.379
O3 O 0.437 0.455 0.922
```

Values from the calculation:
D(E_F), states/eV/atom: 0.5162
Energy relative to the elements, uncorrected, eV/atom: -0.5998


# 3
Entry from Alexandria: a geometry-optimized Pu3Ge2Pd4 structure (GGA-PBE).

```
data_Pu3Ge2Pd4
_symmetry_space_group_name_H-M 'C 1 2/m 1'
_symmetry_Int_Tables_number 12
_symmetry_space_group_name_Hall '-C 2y'
_cell_length_a 10.087
_cell_length_b 4.731
_cell_length_c 8.685
_cell_angle_alpha 90.00
_cell_angle_beta 124.94
_cell_angle_gamma 90.00
loop_
_atom_site_label
_atom_site_type_symbol
_atom_site_fract_x
_atom_site_fract_y
_atom_site_fract_z
Pu1 Pu 0.000 0.000 0.000
Pu2 Pu 0.163 0.500 0.668
Ge1 Ge 0.113 0.500 0.282
Pd1 Pd 0.065 0.000 0.390
Pd2 Pd 0.211 0.500 0.057
```

Values from the calculation:
ΔE_f, eV per atom: -0.565
D(E_F), states/eV/atom: 2.6612


# 4
Entry from Alexandria: a geometry-optimized SiRhS2N structure (GGA-PBE).

```
data_SiRhS2N
_symmetry_space_group_name_H-M 'P 4/m m m'
_symmetry_Int_Tables_number 123
_symmetry_space_group_name_Hall '-P 4 2'
_cell_length_a 4.858
_cell_length_b 4.858
_cell_length_c 3.633
_cell_angle_alpha 90.00
_cell_angle_beta 90.00
_cell_angle_gamma 90.00
loop_
_atom_site_label
_atom_site_type_symbol
_atom_site_fract_x
_atom_site_fract_y
_atom_site_fract_z
Si1 Si 0.000 0.000 0.000
Rh1 Rh 0.500 0.500 0.500
S1 S 0.000 0.500 0.500
N1 N 0.500 0.500 0.000
```

Values from the calculation:
D(E_F), states/eV/atom: 0.4541
Energy relative to the elements, uncorrected, eV/atom: 0.6578


# 5
Entry from Alexandria: a geometry-optimized Zr9Ti4In11 structure (GGA-PBE).

```
data_Zr9Ti4In11
_symmetry_space_group_name_H-M 'C m m m'
_symmetry_Int_Tables_number 65
_symmetry_space_group_name_Hall '-C 2 2'
_cell_length_a 14.068
_cell_length_b 23.954
_cell_length_c 3.078
_cell_angle_alpha 90.00
_cell_angle_beta 90.00
_cell_angle_gamma 90.00
loop_
_atom_site_label
_atom_site_type_symbol
_atom_site_fract_x
_atom_site_fract_y
_atom_site_fract_z
Zr1 Zr 0.000 0.000 0.000
Zr2 Zr 0.111 0.221 0.000
Zr3 Zr 0.117 0.418 0.000
Ti1 Ti 0.175 0.099 0.000
In1 In 0.000 0.123 0.500
In2 In 0.000 0.320 0.500
In3 In 0.000 0.500 0.500
In4 In 0.213 0.319 0.500
In5 In 0.231 0.000 0.500
```

Values from the calculation:
ΔE_f, eV per atom: -0.153
D(E_F), states/eV/atom: 0.8781


# 6
Entry from Alexandria: a geometry-optimized Tb2HfNpAs4 structure (GGA-PBE).

```
data_Tb2HfNpAs4
_symmetry_space_group_name_H-M 'P 1 2/m 1'
_symmetry_Int_Tables_number 10
_symmetry_space_group_name_Hall '-P 2y'
_cell_length_a 6.992
_cell_length_b 4.036
_cell_length_c 7.015
_cell_angle_alpha 90.00
_cell_angle_beta 109.15
_cell_angle_gamma 90.00
loop_
_atom_site_label
_atom_site_type_symbol
_atom_site_fract_x
_atom_site_fract_y
_atom_site_fract_z
Tb1 Tb 0.000 0.000 0.000
Tb2 Tb 0.500 0.500 0.000
Hf1 Hf 0.000 0.500 0.500
Np1 Np 0.500 0.000 0.500
As1 As 0.238 0.000 0.735
As2 As 0.244 0.500 0.259
```

Values from the calculation:
ΔE_f, eV per atom: -1.184
D(E_F), states/eV/atom: 1.3365


# 7
Entry from Alexandria: a geometry-optimized Tb2MnTl structure (GGA-PBE).

```
data_Tb2MnTl
_symmetry_space_group_name_H-M 'P 4/m m m'
_symmetry_Int_Tables_number 123
_symmetry_space_group_name_Hall '-P 4 2'
_cell_length_a 3.645
_cell_length_b 3.645
_cell_length_c 7.613
_cell_angle_alpha 90.00
_cell_angle_beta 90.00
_cell_angle_gamma 90.00
loop_
_atom_site_label
_atom_site_type_symbol
_atom_site_fract_x
_atom_site_fract_y
_atom_site_fract_z
Tb1 Tb 0.000 0.000 0.229
Mn1 Mn 0.500 0.500 0.000
Tl1 Tl 0.500 0.500 0.500
```

Values from the calculation:
ΔE_f, eV per atom: -0.077
D(E_F), states/eV/atom: 1.0104


# 8
Entry from Alexandria: a geometry-optimized Li3BiAu structure (GGA-PBE).

```
data_Li3BiAu
_symmetry_space_group_name_H-M 'P 1 21/m 1'
_symmetry_Int_Tables_number 11
_symmetry_space_group_name_Hall '-P 2yb'
_cell_length_a 4.611
_cell_length_b 5.936
_cell_length_c 7.300
_cell_angle_alpha 90.00
_cell_angle_beta 108.41
_cell_angle_gamma 90.00
loop_
_atom_site_label
_atom_site_type_symbol
_atom_site_fract_x
_atom_site_fract_y
_atom_site_fract_z
Li1 Li 0.020 0.250 0.042
Li2 Li 0.197 0.506 0.394
Bi1 Bi 0.401 0.250 0.802
Au1 Au 0.363 0.750 0.724
```

Values from the calculation:
ΔE_f, eV per atom: -0.428
D(E_F), states/eV/atom: 0.2926


# 9
Entry from Alexandria: a geometry-optimized NaZn2Au9 structure (GGA-PBE).

```
data_NaZn2Au9
_symmetry_space_group_name_H-M 'I 41/a m d'
_symmetry_Int_Tables_number 141
_cell_length_a 11.305
_cell_length_b 11.305
_cell_length_c 7.214
_cell_angle_alpha 90.00
_cell_angle_beta 90.00
_cell_angle_gamma 90.00
loop_
_symmetry_equiv_pos_as_xyz
'x,y,z'
'-x,-y,-z'
'-y+1/4,x+3/4,z+1/4'
'y+1/4,-x+3/4,-z+1/4'
'-x+1/2,-y,z+1/2'
'x+1/2,y,-z+1/2'
'y+1/4,-x+1/4,z+3/4'
'-y+1/4,x+1/4,-z+3/4'
'x,-y,-z'
'-x,y,z'
'-y+1/4,-x+1/4,-z+3/4'
'y+1/4,x+1/4,z+3/4'
'-x+1/2,y,-z+1/2'
'x+1/2,-y,z+1/2'
'y+1/4,x+3/4,-z+1/4'
'-y+1/4,-x+3/4,z+1/4'
'x+1/2,y+1/2,z+1/2'
'-x+1/2,-y+1/2,-z+1/2'
'-y+3/4,x+1/4,z+3/4'
'y+3/4,-x+1/4,-z+3/4'
'-x,-y+1/2,z'
'x,y+1/2,-z'
'y+3/4,-x+3/4,z+1/4'
'-y+3/4,x+3/4,-z+1/4'
'x+1/2,-y+1/2,-z+1/2'
'-x+1/2,y+1/2,z+1/2'
'-y+3/4,-x+3/4,-z+1/4'
'y+3/4,x+3/4,z+1/4'
'-x,y+1/2,-z'
'x,-y+1/2,z'
'y+3/4,x+1/4,-z+3/4'
'-y+3/4,-x+1/4,z+3/4'
loop_
_atom_site_label
_atom_site_type_symbol
_atom_site_fract_x
_atom_site_fract_y
_atom_site_fract_z
Na1 Na 0.000 0.250 0.375
Zn1 Zn 0.000 0.000 0.000
Au1 Au 0.000 0.250 0.875
Au2 Au 0.121 0.050 0.680
```

Values from the calculation:
ΔE_f, eV per atom: -0.146
D(E_F), states/eV/atom: 0.2507


# 10
Entry from Alexandria: a geometry-optimized Ba2Sc structure (GGA-PBE).

```
data_Ba2Sc
_symmetry_space_group_name_H-M 'C m c m'
_symmetry_Int_Tables_number 63
_symmetry_space_group_name_Hall '-C 2c 2'
_cell_length_a 4.057
_cell_length_b 20.913
_cell_length_c 6.199
_cell_angle_alpha 90.00
_cell_angle_beta 90.00
_cell_angle_gamma 90.00
loop_
_atom_site_label
_atom_site_type_symbol
_atom_site_fract_x
_atom_site_fract_y
_atom_site_fract_z
Ba1 Ba 0.000 0.068 0.250
Ba2 Ba 0.000 0.367 0.250
Sc1 Sc 0.000 0.273 0.750
```

Values from the calculation:
ΔE_f, eV per atom: 0.332
D(E_F), states/eV/atom: 1.5284


# 11
Entry from Alexandria: a geometry-optimized KBS2 structure (GGA-PBE).

```
data_KBS2
_symmetry_space_group_name_H-M 'I -4 2 d'
_symmetry_Int_Tables_number 122
_symmetry_space_group_name_Hall 'I -4 2bw'
_cell_length_a 6.303
_cell_length_b 6.303
_cell_length_c 7.701
_cell_angle_alpha 90.00
_cell_angle_beta 90.00
_cell_angle_gamma 90.00
loop_
_atom_site_label
_atom_site_type_symbol
_atom_site_fract_x
_atom_site_fract_y
_atom_site_fract_z
K1 K 0.000 0.000 0.000
B1 B 0.000 0.000 0.500
S1 S 0.118 0.250 0.625
```

Values from the calculation:
D(E_F), states/eV/atom: 0.0000
Energy relative to the elements, uncorrected, eV/atom: -0.6647


# 12
Entry from Alexandria: a geometry-optimized Er6BiOs structure (GGA-PBE).

```
data_Er6BiOs
_symmetry_space_group_name_H-M 'P -1'
_symmetry_Int_Tables_number 2
_symmetry_space_group_name_Hall '-P 1'
_cell_length_a 6.798
_cell_length_b 6.802
_cell_length_c 7.671
_cell_angle_alpha 90.05
_cell_angle_beta 116.26
_cell_angle_gamma 119.98
loop_
_atom_site_label
_atom_site_type_symbol
_atom_site_fract_x
_atom_site_fract_y
_atom_site_fract_z
Er1 Er 0.045 0.084 0.268
Er2 Er 0.307 0.723 0.268
Er3 Er 0.315 0.538 0.732
Bi1 Bi 0.500 0.000 0.000
Os1 Os 0.500 0.500 0.500
```

Values from the calculation:
ΔE_f, eV per atom: -0.105
D(E_F), states/eV/atom: 1.0308


# 13
Entry from Alexandria: a geometry-optimized PbSeIO2 structure (GGA-PBE).

```
data_PbSeIO2
_symmetry_space_group_name_H-M 'P 4/m m m'
_symmetry_Int_Tables_number 123
_symmetry_space_group_name_Hall '-P 4 2'
_cell_length_a 4.346
_cell_length_b 4.346
_cell_length_c 5.510
_cell_angle_alpha 90.00
_cell_angle_beta 90.00
_cell_angle_gamma 90.00
loop_
_atom_site_label
_atom_site_type_symbol
_atom_site_fract_x
_atom_site_fract_y
_atom_site_fract_z
Pb1 Pb 0.000 0.000 0.000
Se1 Se 0.500 0.500 0.500
I1 I 0.500 0.500 0.000
O1 O 0.000 0.500 0.500
```

Values from the calculation:
D(E_F), states/eV/atom: 0.1659
Energy relative to the elements, uncorrected, eV/atom: 0.0967


# 14
Entry from Alexandria: a geometry-optimized SrVAu structure (GGA-PBE).

```
data_SrVAu
_symmetry_space_group_name_H-M 'F -4 3 m'
_symmetry_Int_Tables_number 216
_symmetry_space_group_name_Hall 'F -4 2 3'
_cell_length_a 7.160
_cell_length_b 7.160
_cell_length_c 7.160
_cell_angle_alpha 90.00
_cell_angle_beta 90.00
_cell_angle_gamma 90.00
loop_
_atom_site_label
_atom_site_type_symbol
_atom_site_fract_x
_atom_site_fract_y
_atom_site_fract_z
Sr1 Sr 0.000 0.000 0.000
V1 V 0.250 0.250 0.750
Au1 Au 0.250 0.250 0.250
```

Values from the calculation:
ΔE_f, eV per atom: 0.848
D(E_F), states/eV/atom: 1.3305


# 15
Entry from Alexandria: a geometry-optimized PmTm4P5 structure (GGA-PBE).

```
data_PmTm4P5
_symmetry_space_group_name_H-M 'I m m m'
_symmetry_Int_Tables_number 71
_symmetry_space_group_name_Hall '-I 2 2'
_cell_length_a 3.986
_cell_length_b 5.641
_cell_length_c 19.924
_cell_angle_alpha 90.00
_cell_angle_beta 90.00
_cell_angle_gamma 90.00
loop_
_atom_site_label
_atom_site_type_symbol
_atom_site_fract_x
_atom_site_fract_y
_atom_site_fract_z
Pm1 Pm 0.000 0.000 0.000
Tm1 Tm 0.000 0.000 0.202
Tm2 Tm 0.000 0.000 0.399
P1 P 0.000 0.500 0.000
P2 P 0.000 0.500 0.200
P3 P 0.000 0.500 0.396
```

Values from the calculation:
ΔE_f, eV per atom: -1.586
D(E_F), states/eV/atom: 0.1536


# 16
Entry from Alexandria: a geometry-optimized LiY5Pd6 structure (GGA-PBE).

```
data_LiY5Pd6
_symmetry_space_group_name_H-M 'C 1 2/m 1'
_symmetry_Int_Tables_number 12
_symmetry_space_group_name_Hall '-C 2y'
_cell_length_a 8.521
_cell_length_b 14.677
_cell_length_c 4.919
_cell_angle_alpha 90.00
_cell_angle_beta 125.19
_cell_angle_gamma 90.00
loop_
_atom_site_label
_atom_site_type_symbol
_atom_site_fract_x
_atom_site_fract_y
_atom_site_fract_z
Li1 Li 0.000 0.000 0.000
Y1 Y 0.000 0.153 0.500
Y2 Y 0.000 0.329 0.000
Y3 Y 0.000 0.500 0.500
Pd1 Pd 0.231 0.500 0.230
Pd2 Pd 0.242 0.330 0.741
```

Values from the calculation:
ΔE_f, eV per atom: -0.811
D(E_F), states/eV/atom: 0.5796


# 17
Entry from Alexandria: a geometry-optimized Np2TlPtS4 structure (GGA-PBE).

```
data_Np2TlPtS4
_symmetry_space_group_name_H-M 'C m c m'
_symmetry_Int_Tables_number 63
_symmetry_space_group_name_Hall '-C 2c 2'
_cell_length_a 4.009
_cell_length_b 13.413
_cell_length_c 13.873
_cell_angle_alpha 90.00
_cell_angle_beta 90.00
_cell_angle_gamma 90.00
loop_
_atom_site_label
_atom_site_type_symbol
_atom_site_fract_x
_atom_site_fract_y
_atom_site_fract_z
Np1 Np 0.000 0.132 0.065
Tl1 Tl 0.000 0.385 0.250
Pt1 Pt 0.000 0.331 0.750
S1 S 0.000 0.069 0.250
S2 S 0.000 0.237 0.602
S3 S 0.000 0.500 0.000
```

Values from the calculation:
D(E_F), states/eV/atom: 2.2515
Energy relative to the elements, uncorrected, eV/atom: -0.9904


# 18
Entry from Alexandria: a geometry-optimized AcTb3Sm6 structure (GGA-PBE).

```
data_AcTb3Sm6
_symmetry_space_group_name_H-M 'C m c 21'
_symmetry_Int_Tables_number 36
_symmetry_space_group_name_Hall 'C 2c -2'
_cell_length_a 11.433
_cell_length_b 13.353
_cell_length_c 9.302
_cell_angle_alpha 90.00
_cell_angle_beta 90.00
_cell_angle_gamma 90.00
loop_
_atom_site_label
_atom_site_type_symbol
_atom_site_fract_x
_atom_site_fract_y
_atom_site_fract_z
Ac1 Ac 0.000 0.242 0.000
Tb1 Tb 0.000 0.024 0.342
Tb2 Tb 0.218 0.422 0.429
Sm1 Sm 0.000 0.269 0.444
Sm2 Sm 0.000 0.491 0.695
Sm3 Sm 0.191 0.112 0.614
Sm4 Sm 0.245 0.163 0.264
```

Values from the calculation:
ΔE_f, eV per atom: 0.189
D(E_F), states/eV/atom: 1.4413


# 19
Entry from Alexandria: a geometry-optimized UAgAs2O8 structure (GGA-PBE).

```
data_UAgAs2O8
_symmetry_space_group_name_H-M 'P -3 m 1'
_symmetry_Int_Tables_number 164
_symmetry_space_group_name_Hall '-P 3 2"'
_cell_length_a 5.7064
_cell_length_b 5.7064
_cell_length_c 6.8558
_cell_angle_alpha 90.00
_cell_angle_beta 90.00
_cell_angle_gamma 120.00
loop_
_atom_site_label
_atom_site_type_symbol
_atom_site_fract_x
_atom_site_fract_y
_atom_site_fract_z
U1 U 0.0000 0.0000 0.0000
Ag1 Ag 0.0000 0.0000 0.5000
As1 As 0.3333 0.6667 0.7053
O1 O 0.1724 0.3448 0.8111
O2 O 0.3333 0.6667 0.4640
```

Values from the calculation:
Energy relative to the elements, uncorrected, eV/atom: -1.5845